# Te2AsPbN

A relaxed Te2AsPbN crystal (GGA-PBE, the Alexandria database).

Cell and atoms, written as POSCAR:
```
Te2AsPbN
1.0
-3.7619 1.9410 -4.0969
-2.2930 -5.4072 -0.4563
-2.7579 0.9191 2.9678
Pb As Te N
1 1 2 1
direct
0.0000 0.0000 0.0000
0.5000 0.5000 0.5000
0.0000 0.5000 0.0000
0.5000 0.0000 0.0000
0.0000 0.0000 0.5000
```

SG: P4/mmm
Raw total energy (eV per atom): -3.290
ΔE to the lowest computed polymorph (eV per formula unit): 3.72



# Cs2SrB2Se6

A relaxed Cs2SrB2Se6 crystal (GGA-PBE, the Alexandria database).

Cell and atoms, written as POSCAR:
```
Cs2SrB2Se6
1.0
6.0836 0.0000 0.0000
-3.0418 6.7588 -0.5619
0.0000 -4.4775 9.9978
Cs Sr B Se
2 1 2 6
direct
0.6884 0.3769 0.1374
0.3116 0.6231 0.8626
0.5000 0.0000 0.5000
0.9115 0.8229 0.7173
0.0885 0.1771 0.2827
0.7569 0.5137 0.6673
0.2264 0.9595 0.2369
0.2669 0.0405 0.7631
0.7736 0.0405 0.7631
0.7331 0.9595 0.2369
0.2431 0.4863 0.3327
```

SG: C2/m
Raw total energy (eV per atom): -4.164



# RbZrBi2

A relaxed RbZrBi2 crystal (GGA-PBE, the Alexandria database).

Cell and atoms, written as POSCAR:
```
RbZrBi2
1.0
-1.3805 -2.4564 -2.1580
2.0166 -2.4836 1.5368
-7.1369 -1.7425 6.5489
Rb Bi Zr
1 2 1
direct
0.5000 0.5000 0.5000
0.0000 0.0000 0.7933
0.0000 0.0000 0.2067
0.5000 0.5000 0.0000
```

SG: P4/mmm
Formation enthalpy at 0 K (eV per atom): -0.275
Raw total energy (eV per atom): -4.594
ΔE to the lowest computed polymorph (eV per formula unit): 0.00



# YMg2AlMo

A relaxed YMg2AlMo crystal (GGA-PBE, the Alexandria database).

Cell and atoms, written as POSCAR:
```
YMg2AlMo
1.0
-5.3122 1.3703 1.2066
-1.7087 -3.0709 -4.0351
-0.3408 -4.3912 3.4863
Y Mo Mg Al
1 1 2 1
direct
0.0000 0.0000 0.0000
0.5000 0.5000 0.5000
0.0000 0.0000 0.5000
0.5000 0.0000 0.0000
0.0000 0.5000 0.0000
```

SG: P4/mmm
Formation enthalpy at 0 K (eV per atom): 1.784
Raw total energy (eV per atom): -3.062



# GaNiP2S

A relaxed GaNiP2S crystal (GGA-PBE, the Alexandria database).

Cell and atoms, written as POSCAR:
```
GaNiP2S
1.0
-2.0887 -3.7482 -1.7114
1.4470 -2.4155 3.5244
-3.8448 1.0829 2.3207
Ni S Ga P
1 1 1 2
direct
0.0000 0.5000 0.0000
0.5000 0.5000 0.5000
0.0000 0.0000 0.0000
0.0000 0.0000 0.5000
0.5000 0.0000 0.0000
```

SG: P4/mmm
Raw total energy (eV per atom): -3.612
ΔE to the lowest computed polymorph (eV per formula unit): 3.25



# Pm6Fe2Bi

A relaxed Pm6Fe2Bi crystal (GGA-PBE, the Alexandria database).

Cell and atoms, written as POSCAR:
```
Pm6Fe2Bi
1.0
-8.1496 0.1532 3.1342
-0.1526 2.4478 -8.3814
3.4603 -8.0085 0.3914
Pm Fe Bi
12 4 2
direct
0.5264 0.8144 0.7120
0.4736 0.1856 0.2880
0.1023 0.8144 0.2880
0.8977 0.1856 0.7120
0.7809 0.0074 0.2265
0.2191 0.9926 0.7735
0.2191 0.4455 0.2265
0.7809 0.5545 0.7735
0.6991 0.3122 0.0112
0.3009 0.6878 0.9888
0.3009 0.3122 0.6131
0.6991 0.6878 0.3869
0.5000 0.1047 0.6047
0.5000 0.8953 0.3953
0.6067 0.6067 0.0000
0.3933 0.3933 0.0000
0.0000 0.5000 0.5000
0.0000 0.0000 0.0000
```

SG: Immm
Formation enthalpy at 0 K (eV per atom): -0.144
Raw total energy (eV per atom): -5.623



# TaRe2Pt

A relaxed TaRe2Pt crystal (GGA-PBE, the Alexandria database).

Cell and atoms, written as POSCAR:
```
TaRe2Pt
1.0
-4.4142 -7.6982 -3.7568
-1.8530 -8.7666 -3.5459
-3.5771 -8.8436 -1.3624
Pt Re Ta
1 2 1
direct
0.7500 0.7500 0.7500
0.0030 0.0030 0.0030
0.4970 0.4970 0.4970
0.2500 0.2500 0.2500
```

SG: R-3m
Formation enthalpy at 0 K (eV per atom): 0.091
Raw total energy (eV per atom): -10.606
ΔE to the lowest computed polymorph (eV per formula unit): 1.48



# Li3AgRh

A relaxed Li3AgRh crystal (GGA-PBE, the Alexandria database).

Cell and atoms, written as POSCAR:
```
Li3AgRh
1.0
4.4895 0.0000 -0.0001
0.0000 4.2851 1.2321
0.0001 0.0883 7.6687
Li Ag Rh
6 2 2
direct
0.6244 0.9104 0.6096
0.6244 0.1001 0.2304
0.1244 0.4002 0.6133
0.1244 0.1880 0.0376
0.1244 0.9984 0.4168
0.6244 0.6982 0.0339
0.6244 0.3127 0.8071
0.1244 0.7857 0.8401
0.6243 0.5116 0.4049
0.1243 0.5869 0.2423
```

SG: P2_1/m
Formation enthalpy at 0 K (eV per atom): -0.160
Raw total energy (eV per atom): -3.349
ΔE to the lowest computed polymorph (eV per formula unit): 0.00



# Na2Sb2Br

A relaxed Na2Sb2Br crystal (GGA-PBE, the Alexandria database).

Cell and atoms, written as POSCAR:
```
Na2Sb2Br
1.0
4.2134 0.0000 0.0000
0.0000 4.2134 0.0000
2.1067 2.1067 8.7726
Sb Br Na
2 1 2
direct
0.7500 0.2500 0.5000
0.2500 0.7500 0.5000
0.0000 0.0000 0.0000
0.4020 0.4020 0.1959
0.5980 0.5980 0.8041
```

SG: I4/mmm
Raw total energy (eV per atom): -3.122
ΔE to the lowest computed polymorph (eV per formula unit): 0.00



# SrCa2TlO4

A relaxed SrCa2TlO4 crystal (GGA-PBE, the Alexandria database).

Cell and atoms, written as POSCAR:
```
SrCa2TlO4
1.0
3.3914 0.0000 0.0000
-1.6957 6.4494 0.0000
0.0000 0.0000 11.9270
Sr Ca Tl O
2 4 2 8
direct
0.2180 0.4360 0.7500
0.7820 0.5640 0.2500
0.3722 0.7443 0.5022
0.6278 0.2557 0.0022
0.6278 0.2557 0.4978
0.3722 0.7443 0.9978
0.9529 0.9058 0.7500
0.0471 0.0942 0.2500
0.2168 0.4336 0.1088
0.7832 0.5664 0.6088
0.7832 0.5664 0.8912
0.2168 0.4336 0.3912
0.0000 0.0000 0.5000
0.0000 0.0000 0.0000
0.5716 0.1432 0.7500
0.4284 0.8568 0.2500
```

SG: Cmcm
Raw total energy (eV per atom): -5.624



# KAs2Se

A relaxed KAs2Se crystal (GGA-PBE, the Alexandria database).

Cell and atoms, written as POSCAR:
```
KAs2Se
1.0
-4.9489 -4.6232 5.6591
-3.7431 -7.2852 3.2873
-1.5455 -6.1602 6.1282
As K Se
2 1 1
direct
0.0195 0.0195 0.0195
0.4805 0.4805 0.4805
0.2500 0.2500 0.2500
0.7500 0.7500 0.7500
```

SG: R-3m
Raw total energy (eV per atom): -3.363



# CoTcPb2S

A relaxed CoTcPb2S crystal (GGA-PBE, the Alexandria database).

Cell and atoms, written as POSCAR:
```
CoTcPb2S
1.0
-4.3918 -1.0022 2.4604
0.5652 -4.3113 -0.7474
2.5740 -0.4288 4.4200
Pb S Co Tc
2 1 1 1
direct
0.0000 0.0000 0.5000
0.5000 0.0000 0.0000
0.5000 0.5000 0.5000
0.0000 0.0000 0.0000
0.0000 0.5000 0.0000
```

SG: P4/mmm
Raw total energy (eV per atom): -5.009



Calculated ρ in order - 6.35; 3.56; 7.96; 2.56; 3.84; 7.72; 19.50; 5.23; 3.94; 5.55; 4.24; 8.62 g/cm³